Entry 1:
Material: LaSb4Rh
Method: DFT, GGA-PBE
State: optimized geometry Values from VASP.

Uncorrected formation energy in eV/atom: 0.110
Raw total energy in eV per formula unit: -28.1
V in Å³/f.u.: 163

The structure in Quantum ESPRESSO input format:
```
&SYSTEM
  ibrav = 0, nat = 6, ntyp = 3
/
ATOMIC_SPECIES
Sb 121.76 Sb.upf
La 138.91 La.upf
Rh 102.91 Rh.upf
ATOMIC_POSITIONS crystal
Sb 0.374 0.878 0.374
Sb 0.878 0.374 0.374
Sb 0.374 0.374 0.878
Sb 0.374 0.374 0.374
La 0.750 0.750 0.750
Rh 0.000 0.000 0.000
CELL_PARAMETERS angstrom
0.000 4.336 4.336
4.336 0.000 4.336
4.336 4.336 0.000
```

Entry 2:
Material: KAl2CuSe4
Method: DFT, GGA-PBE
State: optimized geometry Values from VASP.

Uncorrected formation energy in eV/atom: -0.703
Raw total energy in eV per formula unit: -32.2
V in Å³/f.u.: 212

The structure in Quantum ESPRESSO input format:
```
&SYSTEM
  ibrav = 0, nat = 8, ntyp = 4
/
ATOMIC_SPECIES
Cu 63.55 Cu.upf
Se 78.96 Se.upf
Al 26.98 Al.upf
K 39.10 K.upf
ATOMIC_POSITIONS crystal
Cu 0.500 0.500 0.500
Se 0.859 0.569 0.141
Se 0.569 0.431 0.859
Se 0.141 0.859 0.431
Se 0.431 0.141 0.569
Al 0.750 0.750 0.750
Al 0.250 0.250 0.250
K 0.000 0.000 0.000
CELL_PARAMETERS angstrom
-0.273 4.906 -2.892
0.278 -1.138 -7.578
-5.066 -0.356 -5.745
```

Entry 3:
Material: Cd3Pt2
Method: DFT, GGA-PBE
State: optimized geometry Values from VASP.

DFT formation energy in meV per atom: -127
Raw total energy in eV per formula unit: -15.5
V in Å³/f.u.: 103

The structure in Quantum ESPRESSO input format:
```
&SYSTEM
  ibrav = 0, nat = 10, ntyp = 2
/
ATOMIC_SPECIES
Cd 112.41 Cd.upf
Pt 195.08 Pt.upf
ATOMIC_POSITIONS crystal
Cd 0.750 0.318 0.750
Cd 0.182 0.750 0.750
Cd 0.682 0.818 0.250
Cd 0.818 0.250 0.250
Cd 0.250 0.682 0.250
Cd 0.318 0.182 0.750
Pt 0.186 0.186 0.443
Pt 0.814 0.814 0.557
Pt 0.314 0.314 0.057
Pt 0.686 0.686 0.943
CELL_PARAMETERS angstrom
5.850 0.000 0.000
2.925 5.066 0.000
2.925 1.689 6.929
```

Entry 4:
Material: NaNi2AgN
Method: DFT, GGA-PBE
State: optimized geometry Values from VASP.

Uncorrected formation energy in eV/atom: 0.136
Raw total energy in eV per formula unit: -23.4
V in Å³/f.u.: 65

The structure in Quantum ESPRESSO input format:
```
&SYSTEM
  ibrav = 0, nat = 5, ntyp = 4
/
ATOMIC_SPECIES
Na 22.99 Na.upf
Ni 58.69 Ni.upf
N 14.01 N.upf
Ag 107.87 Ag.upf
ATOMIC_POSITIONS crystal
Na 0.000 0.000 0.500
Ni 0.500 0.000 0.000
Ni 0.000 0.500 0.000
N 0.000 0.000 0.000
Ag 0.500 0.500 0.500
CELL_PARAMETERS angstrom
3.764 0.000 0.000
0.000 3.764 0.000
0.000 0.000 4.584
```